# 1
VASP calculation (GGA-PBE) on a relaxed NiSbW2 crystal.

Cell and atoms, written as extended XYZ:
```
8
Lattice="4.078 0.000 0.000 0.000 4.078 0.000 0.000 0.000 7.699" Properties=species:S:1:pos:R:3 pbc="T T T"
Ni 0.000 0.000 0.000
Ni 2.039 2.039 3.850
Sb 0.000 2.039 5.774
Sb 2.039 0.000 1.925
W 0.000 0.000 3.850
W 0.000 2.039 1.925
W 2.039 0.000 5.774
W 2.039 2.039 0.000
```

# 2
VASP calculation (GGA-PBE) on a relaxed NaTlSe2Br crystal.

Cell and atoms, written as extended XYZ:
```
5
Lattice="5.394 0.000 0.000 0.000 5.394 0.000 0.000 0.000 5.991" Properties=species:S:1:pos:R:3 pbc="T T T"
Na 0.000 0.000 0.000
Tl 2.697 2.697 2.996
Se 0.000 2.697 2.996
Se 2.697 0.000 2.996
Br 2.697 2.697 0.000
```

## Properties
- Offset from the most stable computed form: 0.000 eV per atom

# 3
VASP calculation (GGA-PBE) on a relaxed HfV2CuH crystal.

Cell and atoms, written as extended XYZ:
```
5
Lattice="3.803 0.000 0.000 0.000 3.803 0.000 0.000 0.000 4.364" Properties=species:S:1:pos:R:3 pbc="T T T"
Hf 0.000 0.000 0.000
V 0.000 1.902 2.182
V 1.902 0.000 2.182
Cu 1.902 1.902 0.000
H 0.000 0.000 2.182
```

# 4
VASP calculation (GGA-PBE) on a relaxed Y2Sb2Cl crystal.

Cell and atoms, written as extended XYZ:
```
10
Lattice="7.884 0.000 0.000 0.000 7.884 0.000 0.000 0.000 4.341" Properties=species:S:1:pos:R:3 pbc="T T T"
Y 1.351 2.591 0.000
Y 2.591 6.533 0.000
Y 5.293 1.351 0.000
Y 6.533 5.293 0.000
Sb 1.042 4.984 2.171
Sb 2.900 1.042 2.171
Sb 4.984 6.842 2.171
Sb 6.842 2.900 2.171
Cl 0.000 0.000 0.000
Cl 3.942 3.942 0.000
```

# 5
VASP calculation (GGA-PBE) on a relaxed DyHo2Si2Pt7 crystal.

Cell and atoms, written as extended XYZ:
```
12
Lattice="2.862 -2.837 0.000 2.862 2.837 0.000 -2.141 0.000 13.611" Properties=species:S:1:pos:R:3 pbc="T T T"
Dy 0.000 0.000 0.000
Ho -0.077 0.000 4.858
Ho 3.660 0.000 8.753
Si 0.715 0.000 10.090
Si 2.868 0.000 3.521
Pt 1.437 1.417 2.209
Pt 0.855 0.000 7.772
Pt 2.146 1.417 11.402
Pt 2.862 0.000 0.000
Pt 1.437 -1.417 2.209
Pt 2.728 0.000 5.839
Pt 2.146 -1.417 11.402
```

# 6
VASP calculation (GGA-PBE) on a relaxed Sc2AlGa2Ir5 crystal.

Cell and atoms, written as extended XYZ:
```
20
Lattice="9.537 0.000 0.000 0.000 9.537 0.000 0.000 0.000 3.512" Properties=species:S:1:pos:R:3 pbc="T T T"
Sc 1.637 3.132 0.000
Sc 3.132 7.900 0.000
Sc 6.406 1.637 0.000
Sc 7.900 6.406 0.000
Al 0.000 0.000 0.000
Al 4.769 4.769 0.000
Ga 1.229 5.998 0.000
Ga 3.539 1.229 0.000
Ga 5.998 8.308 0.000
Ga 8.308 3.539 0.000
Ir 0.000 4.769 1.756
Ir 0.613 7.632 1.756
Ir 1.905 0.613 1.756
Ir 2.863 5.382 1.756
Ir 4.155 2.863 1.756
Ir 4.769 0.000 1.756
Ir 5.382 6.674 1.756
Ir 6.674 4.155 1.756
Ir 7.632 8.924 1.756
Ir 8.924 1.905 1.756
```

# 7
VASP calculation (GGA-PBE) on a relaxed Pa2CdGa crystal.

Cell and atoms, written as extended XYZ:
```
4
Lattice="4.381 0.000 0.000 0.000 4.381 0.000 0.000 0.000 4.702" Properties=species:S:1:pos:R:3 pbc="T T T"
Pa 0.000 2.191 0.000
Pa 2.191 0.000 0.000
Cd 0.000 0.000 2.351
Ga 2.191 2.191 2.351
```

## Properties
- Offset from the most stable computed form: 0.000 eV per atom

# 8
VASP calculation (GGA-PBE) on a relaxed TiMnSe4 crystal.

Cell and atoms, written as extended XYZ:
```
12
Lattice="14.718 0.000 0.000 0.000 3.492 0.000 -2.373 0.000 5.515" Properties=species:S:1:pos:R:3 pbc="T T T"
Ti 0.000 0.000 0.000
Ti 7.359 1.746 0.000
Mn -1.187 1.746 2.758
Mn 6.173 0.000 2.758
Se 0.564 0.000 2.492
Se -0.539 1.746 5.165
Se 5.525 0.000 0.350
Se 4.422 1.746 3.024
Se 7.923 1.746 2.492
Se 6.821 0.000 5.165
Se 12.884 1.746 0.350
Se 11.781 0.000 3.024
```

Record-wise raw total energy values, in eV/cell: -68.16; -13.25; -35.54; -57.85; -80.40; -147.04; -23.05; -71.30
Record-wise magnetic moment values, in μB per cell: 0.00; 0.75; 0.00; 0.00; 0.00; 0.00; 0.01; 5.43